[1]
Density functional theory data (PBE-GGA) for a relaxed MnFe2Mo crystal.

The structure in POSCAR format:
```
MnFe2Mo
1.0
-2.295 0.711 -0.874
0.396 -1.347 -2.136
-3.105 -6.044 3.236
Fe Mn Mo
2 1 1
Cartesian
-1.474 -2.869 1.536
-0.078 -0.153 0.082
-1.726 -1.829 -0.696
-3.278 -4.851 0.922
```

The calculation puts the total energy at -36.4 eV for the cell shown. As for the energy relative to the lowest polymorph listed for this composition: 71.6 meV per atom. As for the energy of formation from the pure elements: 0.52 eV per formula unit. The calculation puts the magnetization at 1.8 Bohr magnetons per cell.

=====

[2]
Density functional theory data (PBE-GGA) for a relaxed Mn2FeMo crystal.

The structure in POSCAR format:
```
Mn2FeMo
1.0
2.593 0.000 0.000
0.000 3.634 0.000
0.000 0.000 5.256
Fe Mo Mn
1 1 2
Cartesian
1.296 1.817 4.023
0.000 0.000 2.648
0.000 0.000 0.010
1.296 1.817 1.203
```

The calculation puts the total energy at -37.0 eV for the cell shown. As for the energy of formation from the pure elements: 0.59 eV per formula unit. The calculation puts the magnetization at 1.2 Bohr magnetons per cell.

=====

[3]
Density functional theory data (PBE-GGA) for a relaxed MnFe2Mo crystal.

The structure in POSCAR format:
```
MnFe2Mo
1.0
-2.059 2.740 2.868
-3.450 -2.083 1.930
4.290 -1.136 -0.525
Mn Fe Mo
1 2 1
Cartesian
-0.957 -1.445 1.902
-2.754 0.329 2.399
0.000 0.000 0.000
-0.261 0.967 2.371
```

The calculation puts the total energy at -36.4 eV for the cell shown. As for the energy relative to the lowest polymorph listed for this composition: 67.9 meV per atom. As for the energy of formation from the pure elements: 0.50 eV per formula unit. The calculation puts the magnetization at 2.1 Bohr magnetons per cell.

=====

[4]
Density functional theory data (PBE-GGA) for a relaxed MnFe2Mo crystal.

The structure in POSCAR format:
```
MnFe2Mo
1.0
8.742 0.031 0.018
8.345 2.603 0.018
8.345 1.286 2.263
Fe Mo Mn
2 1 1
Cartesian
25.298 3.899 2.287
6.311 0.973 0.571
19.076 2.940 1.724
12.895 1.988 1.166
```

The calculation puts the total energy at -35.9 eV for the cell shown. As for the energy relative to the lowest polymorph listed for this composition: 207.0 meV per atom. As for the energy of formation from the pure elements: 1.06 eV per formula unit. The calculation puts the magnetization at 2.2 Bohr magnetons per cell.

=====

[5]
Density functional theory data (PBE-GGA) for a relaxed MnFe2Mo crystal.

The structure in POSCAR format:
```
MnFe2Mo
1.0
-1.547 -1.968 -0.555
-0.094 -0.627 2.485
-6.115 4.546 0.915
Fe Mo Mn
2 1 1
Cartesian
-2.395 -0.127 1.200
-0.120 0.089 0.018
-5.392 2.101 1.649
-2.907 2.161 0.435
```

The calculation puts the total energy at -36.4 eV for the cell shown. As for the energy relative to the lowest polymorph listed for this composition: 77.2 meV per atom. As for the energy of formation from the pure elements: 0.54 eV per formula unit. The calculation puts the magnetization at 2.0 Bohr magnetons per cell.

=====

[6]
Density functional theory data (PBE-GGA) for a relaxed Mn2FeMo crystal.

The structure in POSCAR format:
```
Mn2FeMo
1.0
4.774 -0.013 -0.020
2.047 4.313 0.020
-2.986 -2.824 2.430
Mn Mo Fe
2 1 1
Cartesian
6.805 4.290 0.000
3.426 2.160 0.000
1.236 1.820 1.225
2.599 -0.344 1.205
```

The calculation puts the total energy at -37.1 eV for the cell shown. As for the energy of formation from the pure elements: 0.54 eV per formula unit. The calculation puts the magnetization at 4.8 Bohr magnetons per cell.

=====

[7]
Density functional theory data (PBE-GGA) for a relaxed MnFe2Mo crystal.

The structure in POSCAR format:
```
MnFe2Mo
1.0
8.639 0.014 0.008
8.246 2.573 0.008
8.246 1.264 2.242
Fe Mo Mn
2 1 1
Cartesian
24.979 3.828 2.245
12.718 1.949 1.143
18.848 2.889 1.694
6.283 0.963 0.565
```

The calculation puts the total energy at -35.8 eV for the cell shown. As for the energy relative to the lowest polymorph listed for this composition: 217.7 meV per atom. As for the energy of formation from the pure elements: 1.10 eV per formula unit. The calculation puts the magnetization at 2.6 Bohr magnetons per cell.

=====

[8]
Density functional theory data (PBE-GGA) for a relaxed MnFe2Mo crystal.

The structure in POSCAR format:
```
MnFe2Mo
1.0
4.442 -0.003 0.010
3.689 2.475 0.010
0.770 0.234 4.466
Fe Mo Mn
2 1 1
Cartesian
0.819 0.249 4.412
6.686 2.033 3.306
2.200 0.669 1.078
4.414 1.342 2.398
```

The calculation puts the total energy at -36.2 eV for the cell shown. As for the energy relative to the lowest polymorph listed for this composition: 113.1 meV per atom. As for the energy of formation from the pure elements: 0.69 eV per formula unit. The calculation puts the magnetization at 1.0 Bohr magnetons per cell.

=====

What did the fifth record say?
Density functional theory data (PBE-GGA) for a relaxed MnFe2Mo crystal.

The structure in POSCAR format:
```
MnFe2Mo
1.0
-1.547 -1.968 -0.555
-0.094 -0.627 2.485
-6.115 4.546 0.915
Fe Mo Mn
2 1 1
Cartesian
-2.395 -0.127 1.200
-0.120 0.089 0.018
-5.392 2.101 1.649
-2.907 2.161 0.435
```

The calculation puts the total energy at -36.4 eV for the cell shown. As for the energy relative to the lowest polymorph listed for this composition: 77.2 meV per atom. As for the energy of formation from the pure elements: 0.54 eV per formula unit. The calculation puts the magnetization at 2.0 Bohr magnetons per cell.

=====

What did the eighth record say?
Density functional theory data (PBE-GGA) for a relaxed MnFe2Mo crystal.

The structure in POSCAR format:
```
MnFe2Mo
1.0
4.442 -0.003 0.010
3.689 2.475 0.010
0.770 0.234 4.466
Fe Mo Mn
2 1 1
Cartesian
0.819 0.249 4.412
6.686 2.033 3.306
2.200 0.669 1.078
4.414 1.342 2.398
```

The calculation puts the total energy at -36.2 eV for the cell shown. As for the energy relative to the lowest polymorph listed for this composition: 113.1 meV per atom. As for the energy of formation from the pure elements: 0.69 eV per formula unit. The calculation puts the magnetization at 1.0 Bohr magnetons per cell.